No. 1
The following is a DFT calculation (PBE) of a geometry-optimized NiC structure.

- raw total energy (Ha/atom) = -0.22275
- E_form (meV/atom) = 1441
- theoretical density (g/cm3) = 7.27

CIF file:
```
data_NiC
_chemical_formula_sum 'Ni1 C1'
_space_group_name_H-M_alt 'P m -3 m'
_space_group_IT_number 221
_space_group_name_Hall '-P 4 2 3'
_cell_length_a 2.528
_cell_length_b 2.528
_cell_length_c 2.528
_cell_angle_alpha 90.00
_cell_angle_beta 90.00
_cell_angle_gamma 90.00
loop_
_atom_site_label
_atom_site_fract_x
_atom_site_fract_y
_atom_site_fract_z
Ni1 0.000 0.000 0.000
C1 0.500 0.500 0.500
```

No. 2
The following is a DFT calculation (PBE) of a geometry-optimized Nd3Ge3Os structure.

- raw total energy (Ha/atom) = -0.23205
- E_form (meV/atom) = -688
- theoretical density (g/cm3) = 8.53

CIF file:
```
data_Nd3Ge3Os
_chemical_formula_sum 'Nd12 Ge12 Os4'
_space_group_name_H-M_alt 'C 1 2/m 1'
_space_group_IT_number 12
_cell_length_a 11.193
_cell_length_b 4.390
_cell_length_c 14.313
_cell_angle_alpha 90.00
_cell_angle_beta 111.38
_cell_angle_gamma 90.00
loop_
_space_group_symop_operation_xyz
'x,y,z'
'-x,-y,-z'
'-x,y,-z'
'x,-y,z'
'x+1/2,y+1/2,z'
'-x+1/2,-y+1/2,-z'
'-x+1/2,y+1/2,-z'
'x+1/2,-y+1/2,z'
loop_
_atom_site_label
_atom_site_fract_x
_atom_site_fract_y
_atom_site_fract_z
Nd1 0.021 0.000 0.377
Nd2 0.099 0.000 0.919
Nd3 0.244 0.000 0.231
Ge1 0.053 0.500 0.242
Ge2 0.118 0.500 0.073
Ge3 0.142 0.500 0.544
Os1 0.244 0.500 0.414
```

No. 3
The following is a DFT calculation (PBE) of a geometry-optimized Ba3Sr3TlZn2 structure.

- raw total energy (Ha/atom) = -0.06985
- E_form (meV/atom) = -153
- theoretical density (g/cm3) = 4.48

CIF file:
```
data_Ba3Sr3TlZn2
_chemical_formula_sum 'Ba3 Sr3 Tl1 Zn2'
_space_group_name_H-M_alt 'P -6 2 m'
_space_group_IT_number 189
_space_group_name_Hall 'P -6 -2'
_cell_length_a 8.7327
_cell_length_b 8.7327
_cell_length_c 5.6693
_cell_angle_alpha 90.00
_cell_angle_beta 90.00
_cell_angle_gamma 120.00
loop_
_atom_site_label
_atom_site_fract_x
_atom_site_fract_y
_atom_site_fract_z
Ba1 0.0000 0.4128 0.0000
Sr1 0.0000 0.7402 0.5000
Tl1 0.0000 0.0000 0.0000
Zn1 0.3333 0.6667 0.5000
```

No. 4
The following is a DFT calculation (PBE) of a geometry-optimized Y4AlTlO structure.

- raw total energy (Ha/atom) = -0.23240
- ΔE_f (raw) (meV per atom) = -1049
- theoretical density (g/cm3) = 5.75

CIF file:
```
data_Y4AlTlO
_chemical_formula_sum 'Y16 Al4 Tl4 O4'
_space_group_name_H-M_alt 'C m c m'
_space_group_IT_number 63
_space_group_name_Hall '-C 2c 2'
_cell_length_a 6.536
_cell_length_b 16.300
_cell_length_c 6.540
_cell_angle_alpha 90.00
_cell_angle_beta 90.00
_cell_angle_gamma 90.00
loop_
_atom_site_label
_atom_site_fract_x
_atom_site_fract_y
_atom_site_fract_z
Y1 0.000 0.074 0.250
Y2 0.000 0.418 0.250
Y3 0.250 0.250 0.000
Al1 0.000 0.116 0.750
Tl1 0.000 0.390 0.750
O1 0.000 0.258 0.250
```

No. 5
The following is a DFT calculation (PBE) of a geometry-optimized K2CaCl structure.

- raw total energy (Ha/atom) = -0.08289
- ΔE_f (raw) (meV per atom) = -745
- theoretical density (g/cm3) = 1.37

CIF file:
```
data_K2CaCl
_chemical_formula_sum 'K4 Ca2 Cl2'
_space_group_name_H-M_alt 'I m m 2'
_space_group_IT_number 44
_cell_length_a 3.964
_cell_length_b 7.370
_cell_length_c 12.794
_cell_angle_alpha 90.00
_cell_angle_beta 90.00
_cell_angle_gamma 90.00
loop_
_space_group_symop_operation_xyz
'x,y,z'
'-x,-y,z'
'-x,y,z'
'x,-y,z'
'x+1/2,y+1/2,z+1/2'
'-x+1/2,-y+1/2,z+1/2'
'-x+1/2,y+1/2,z+1/2'
'x+1/2,-y+1/2,z+1/2'
loop_
_atom_site_label
_atom_site_fract_x
_atom_site_fract_y
_atom_site_fract_z
K1 0.000 0.000 0.000
K2 0.000 0.500 0.173
Ca1 0.000 0.500 0.809
Cl1 0.000 0.000 0.466
```

No. 6
The following is a DFT calculation (PBE) of a geometry-optimized ZrCdAgRh structure.

- raw total energy (Ha/atom) = -0.19043
- E_form (meV/atom) = -265
- theoretical density (g/cm3) = 9.37

CIF file:
```
data_ZrCdAgRh
_chemical_formula_sum 'Zr4 Cd4 Ag4 Rh4'
_space_group_name_H-M_alt 'F -4 3 m'
_space_group_IT_number 216
_space_group_name_Hall 'F -4 2 3'
_cell_length_a 6.647
_cell_length_b 6.647
_cell_length_c 6.647
_cell_angle_alpha 90.00
_cell_angle_beta 90.00
_cell_angle_gamma 90.00
loop_
_atom_site_label
_atom_site_fract_x
_atom_site_fract_y
_atom_site_fract_z
Zr1 0.000 0.000 0.000
Cd1 0.000 0.000 0.500
Ag1 0.250 0.250 0.750
Rh1 0.250 0.250 0.250
```

No. 7
The following is a DFT calculation (PBE) of a geometry-optimized LaY2Er structure.

- raw total energy (Ha/atom) = -0.19983
- E_form (meV/atom) = 167
- theoretical density (g/cm3) = 6.09

CIF file:
```
data_LaY2Er
_chemical_formula_sum 'La4 Y8 Er4'
_space_group_name_H-M_alt 'C 1 2/c 1'
_space_group_IT_number 15
_cell_length_a 24.525
_cell_length_b 3.530
_cell_length_c 6.194
_cell_angle_alpha 90.00
_cell_angle_beta 100.29
_cell_angle_gamma 90.00
loop_
_space_group_symop_operation_xyz
'x,y,z'
'-x,-y,-z'
'-x,y,-z+1/2'
'x,-y,z+1/2'
'x+1/2,y+1/2,z'
'-x+1/2,-y+1/2,-z'
'-x+1/2,y+1/2,-z+1/2'
'x+1/2,-y+1/2,z+1/2'
loop_
_atom_site_label
_atom_site_fract_x
_atom_site_fract_y
_atom_site_fract_z
La1 0.000 0.000 0.000
Y1 0.133 0.275 0.087
Er1 0.250 0.250 0.500
```

No. 8
The following is a DFT calculation (PBE) of a geometry-optimized Dy2ErTmRh4 structure.

- raw total energy (Ha/atom) = -0.25266
- E_form (meV/atom) = -920
- theoretical density (g/cm3) = 11.28

CIF file:
```
data_Dy2ErTmRh4
_chemical_formula_sum 'Dy6 Er3 Tm3 Rh12'
_space_group_name_H-M_alt 'R -3 m'
_space_group_IT_number 166
_space_group_name_Hall '-R 3 2"'
_cell_length_a 4.8153
_cell_length_b 4.8153
_cell_length_c 23.6035
_cell_angle_alpha 90.00
_cell_angle_beta 90.00
_cell_angle_gamma 120.00
loop_
_atom_site_label
_atom_site_fract_x
_atom_site_fract_y
_atom_site_fract_z
Dy1 0.0000 0.0000 0.2498
Er1 0.0000 0.0000 0.0000
Tm1 0.0000 0.0000 0.5000
Rh1 0.0000 0.0000 0.1252
Rh2 0.0000 0.0000 0.3752
```

No. 9
The following is a DFT calculation (PBE) of a geometry-optimized Sr2HgSe3 structure.

- raw total energy (Ha/atom) = -0.13691
- ΔE_f (raw) (meV per atom) = -1372
- theoretical density (g/cm3) = 5.80

CIF file:
```
data_Sr2HgSe3
_chemical_formula_sum 'Sr8 Hg4 Se12'
_space_group_name_H-M_alt 'P n m a'
_space_group_IT_number 62
_cell_length_a 9.029
_cell_length_b 4.378
_cell_length_c 17.743
_cell_angle_alpha 90.00
_cell_angle_beta 90.00
_cell_angle_gamma 90.00
loop_
_space_group_symop_operation_xyz
'x,y,z'
'-x,-y,-z'
'-x+1/2,-y,z+1/2'
'x+1/2,y,-z+1/2'
'x+1/2,-y+1/2,-z+1/2'
'-x+1/2,y+1/2,z+1/2'
'-x,y+1/2,-z'
'x,-y+1/2,z'
loop_
_atom_site_label
_atom_site_fract_x
_atom_site_fract_y
_atom_site_fract_z
Sr1 0.071 0.250 0.217
Sr2 0.239 0.250 0.968
Hg1 0.120 0.250 0.636
Se1 0.031 0.250 0.407
Se2 0.109 0.750 0.072
Se3 0.195 0.250 0.782
```

No. 10
The following is a DFT calculation (PBE) of a geometry-optimized Sm6YEr12 structure.

- raw total energy (Ha/atom) = -0.16853
- E_form (meV/atom) = 126
- theoretical density (g/cm3) = 8.16

CIF file:
```
data_Sm6YEr12
_chemical_formula_sum 'Sm18 Y3 Er36'
_space_group_name_H-M_alt 'R -3 m'
_space_group_IT_number 166
_space_group_name_Hall '-R 3 2"'
_cell_length_a 11.0356
_cell_length_b 11.0356
_cell_length_c 17.3505
_cell_angle_alpha 90.00
_cell_angle_beta 90.00
_cell_angle_gamma 120.00
loop_
_atom_site_label
_atom_site_fract_x
_atom_site_fract_y
_atom_site_fract_z
Sm1 0.0688 0.5344 0.2668
Y1 0.0000 0.0000 0.5000
Er1 0.1007 0.5503 0.9141
Er2 0.1060 0.2120 0.9078
```

No. 11
The following is a DFT calculation (PBE) of a geometry-optimized TlCuBiTe2 structure.

- raw total energy (Ha/atom) = -0.12439
- ΔE_f (raw) (meV per atom) = -59
- theoretical density (g/cm3) = 7.73

CIF file:
```
data_TlCuBiTe2
_chemical_formula_sum 'Tl2 Cu2 Bi2 Te4'
_space_group_name_H-M_alt 'P 1 2/c 1'
_space_group_IT_number 13
_cell_length_a 8.156
_cell_length_b 4.170
_cell_length_c 9.268
_cell_angle_alpha 90.00
_cell_angle_beta 94.11
_cell_angle_gamma 90.00
loop_
_space_group_symop_operation_xyz
'x,y,z'
'-x,-y,-z'
'-x,y,-z+1/2'
'x,-y,z+1/2'
loop_
_atom_site_label
_atom_site_fract_x
_atom_site_fract_y
_atom_site_fract_z
Tl1 0.000 0.090 0.250
Cu1 0.500 0.000 0.000
Bi1 0.500 0.481 0.750
Te1 0.245 0.374 0.986
```

No. 12
The following is a DFT calculation (PBE) of a geometry-optimized Dy4TlBiC structure.

- raw total energy (Ha/atom) = -0.19768
- E_form (meV/atom) = -539
- theoretical density (g/cm3) = 9.55

CIF file:
```
data_Dy4TlBiC
_chemical_formula_sum 'Dy16 Tl4 Bi4 C4'
_space_group_name_H-M_alt 'C m c m'
_space_group_IT_number 63
_space_group_name_Hall '-C 2c 2'
_cell_length_a 6.837
_cell_length_b 16.008
_cell_length_c 6.837
_cell_angle_alpha 90.00
_cell_angle_beta 90.00
_cell_angle_gamma 90.00
loop_
_atom_site_label
_atom_site_fract_x
_atom_site_fract_y
_atom_site_fract_z
Dy1 0.000 0.089 0.250
Dy2 0.000 0.405 0.250
Dy3 0.250 0.250 0.000
Tl1 0.000 0.111 0.750
Bi1 0.000 0.394 0.750
C1 0.000 0.250 0.250
```

No. 13
The following is a DFT calculation (PBE) of a geometry-optimized Na3CrCl6 structure.

- raw total energy (Ha/atom) = -0.14627
- ΔE_f (raw) (meV per atom) = -1514
- theoretical density (g/cm3) = 2.40

CIF file:
```
data_Na3CrCl6
_chemical_formula_sum 'Na6 Cr2 Cl12'
_space_group_name_H-M_alt 'P 1 21/c 1'
_space_group_IT_number 14
_cell_length_a 6.671
_cell_length_b 7.061
_cell_length_c 11.841
_cell_angle_alpha 90.00
_cell_angle_beta 124.13
_cell_angle_gamma 90.00
loop_
_space_group_symop_operation_xyz
'x,y,z'
'-x,-y,-z'
'-x,y+1/2,-z+1/2'
'x,-y+1/2,z+1/2'
loop_
_atom_site_label
_atom_site_fract_x
_atom_site_fract_y
_atom_site_fract_z
Na1 0.000 0.000 0.000
Na2 0.277 0.082 0.747
Cr1 0.500 0.000 0.500
Cl1 0.147 0.046 0.276
Cl2 0.274 0.675 0.062
Cl3 0.408 0.217 0.070
```

No. 14
The following is a DFT calculation (PBE) of a geometry-optimized PSeBr2 structure.

- raw total energy (Ha/atom) = -0.09971
- ΔE_f (raw) (meV per atom) = 347
- theoretical density (g/cm3) = 3.90

CIF file:
```
data_PSeBr2
_chemical_formula_sum 'P1 Se1 Br2'
_space_group_name_H-M_alt 'P 4 m m'
_space_group_IT_number 99
_cell_length_a 3.105
_cell_length_b 3.105
_cell_length_c 11.923
_cell_angle_alpha 90.00
_cell_angle_beta 90.00
_cell_angle_gamma 90.00
loop_
_space_group_symop_operation_xyz
'x,y,z'
'-y,x,z'
'-x,-y,z'
'y,-x,z'
'-x,y,z'
'y,x,z'
'x,-y,z'
'-y,-x,z'
loop_
_atom_site_label
_atom_site_fract_x
_atom_site_fract_y
_atom_site_fract_z
P1 0.000 0.000 0.000
Se1 0.500 0.500 0.097
Br1 0.000 0.000 0.380
Br2 0.500 0.500 0.733
```

No. 15
The following is a DFT calculation (PBE) of a geometry-optimized AgIrAuO2 structure.

- raw total energy (Ha/atom) = -0.18550
- ΔE_f (raw) (meV per atom) = -66
- theoretical density (g/cm3) = 9.80

CIF file:
```
data_AgIrAuO2
_chemical_formula_sum 'Ag1 Ir1 Au1 O2'
_space_group_name_H-M_alt 'P 4/m m m'
_space_group_IT_number 123
_space_group_name_Hall '-P 4 2'
_cell_length_a 3.758
_cell_length_b 3.758
_cell_length_c 6.347
_cell_angle_alpha 90.00
_cell_angle_beta 90.00
_cell_angle_gamma 90.00
loop_
_atom_site_label
_atom_site_fract_x
_atom_site_fract_y
_atom_site_fract_z
Ag1 0.000 0.000 0.000
Ir1 0.000 0.000 0.500
Au1 0.500 0.500 0.000
O1 0.000 0.500 0.500
```

No. 16
The following is a DFT calculation (PBE) of a geometry-optimized TaSnPCl2 structure.

- raw total energy (Ha/atom) = -0.18806
- ΔE_f (raw) (meV per atom) = -126
- theoretical density (g/cm3) = 5.73

CIF file:
```
data_TaSnPCl2
_chemical_formula_sum 'Ta1 Sn1 P1 Cl2'
_space_group_name_H-M_alt 'P 4/m m m'
_space_group_IT_number 123
_space_group_name_Hall '-P 4 2'
_cell_length_a 4.809
_cell_length_b 4.809
_cell_length_c 5.034
_cell_angle_alpha 90.00
_cell_angle_beta 90.00
_cell_angle_gamma 90.00
loop_
_atom_site_label
_atom_site_fract_x
_atom_site_fract_y
_atom_site_fract_z
Ta1 0.000 0.000 0.000
Sn1 0.500 0.500 0.500
P1 0.000 0.000 0.500
Cl1 0.000 0.500 0.000
```

No. 17
The following is a DFT calculation (PBE) of a geometry-optimized Li3Tb2Zn4 structure.

- raw total energy (Ha/atom) = -0.08848
- E_form (meV/atom) = -175
- theoretical density (g/cm3) = 5.80

CIF file:
```
data_Li3Tb2Zn4
_chemical_formula_sum 'Li12 Tb8 Zn16'
_space_group_name_H-M_alt 'C m c e'
_space_group_IT_number 64
_space_group_name_Hall '-C 2ac 2'
_cell_length_a 5.590
_cell_length_b 15.277
_cell_length_c 8.048
_cell_angle_alpha 90.00
_cell_angle_beta 90.00
_cell_angle_gamma 90.00
loop_
_atom_site_label
_atom_site_fract_x
_atom_site_fract_y
_atom_site_fract_z
Li1 0.000 0.000 0.000
Li2 0.250 0.219 0.250
Tb1 0.000 0.113 0.586
Zn1 0.000 0.182 0.972
Zn2 0.250 0.052 0.250
```

No. 18
The following is a DFT calculation (PBE) of a geometry-optimized Ba2TbYS5 structure.

- raw total energy (Ha/atom) = -0.22153
- ΔE_f (raw) (meV per atom) = -2075
- theoretical density (g/cm3) = 4.47

CIF file:
```
data_Ba2TbYS5
_chemical_formula_sum 'Ba8 Tb4 Y4 S20'
_space_group_name_H-M_alt 'C m c 21'
_space_group_IT_number 36
_cell_length_a 4.286
_cell_length_b 17.406
_cell_length_c 13.590
_cell_angle_alpha 90.00
_cell_angle_beta 90.00
_cell_angle_gamma 90.00
loop_
_space_group_symop_operation_xyz
'x,y,z'
'-x,-y,z+1/2'
'-x,y,z'
'x,-y,z+1/2'
'x+1/2,y+1/2,z'
'-x+1/2,-y+1/2,z+1/2'
'-x+1/2,y+1/2,z'
'x+1/2,-y+1/2,z+1/2'
loop_
_atom_site_label
_atom_site_fract_x
_atom_site_fract_y
_atom_site_fract_z
Ba1 0.000 0.103 0.000
Ba2 0.000 0.142 0.615
Tb1 0.000 0.217 0.335
Y1 0.000 0.469 0.774
S1 0.000 0.060 0.377
S2 0.000 0.278 0.968
S3 0.000 0.317 0.706
S4 0.000 0.374 0.314
S5 0.000 0.491 0.090
```

No. 19
The following is a DFT calculation (PBE) of a geometry-optimized Li4HoMg5 structure.

- raw total energy (Ha/atom) = -0.07625
- E_form (meV/atom) = -54
- theoretical density (g/cm3) = 2.41

CIF file:
```
data_Li4HoMg5
_chemical_formula_sum 'Li4 Ho1 Mg5'
_space_group_name_H-M_alt 'P 4/m m m'
_space_group_IT_number 123
_space_group_name_Hall '-P 4 2'
_cell_length_a 3.476
_cell_length_b 3.476
_cell_length_c 17.952
_cell_angle_alpha 90.00
_cell_angle_beta 90.00
_cell_angle_gamma 90.00
loop_
_atom_site_label
_atom_site_fract_x
_atom_site_fract_y
_atom_site_fract_z
Li1 0.000 0.000 0.094
Li2 0.000 0.000 0.282
Ho1 0.000 0.000 0.500
Mg1 0.500 0.500 0.000
Mg2 0.500 0.500 0.187
Mg3 0.500 0.500 0.374
```

No. 20
The following is a DFT calculation (PBE) of a geometry-optimized NaCdOs3 structure.

- raw total energy (Ha/atom) = -0.15772
- E_form (meV/atom) = 2893
- theoretical density (g/cm3) = 9.45

CIF file:
```
data_NaCdOs3
_chemical_formula_sum 'Na1 Cd1 Os3'
_space_group_name_H-M_alt 'P m -3 m'
_space_group_IT_number 221
_space_group_name_Hall '-P 4 2 3'
_cell_length_a 4.988
_cell_length_b 4.988
_cell_length_c 4.988
_cell_angle_alpha 90.00
_cell_angle_beta 90.00
_cell_angle_gamma 90.00
loop_
_atom_site_label
_atom_site_fract_x
_atom_site_fract_y
_atom_site_fract_z
Na1 0.000 0.000 0.000
Cd1 0.500 0.500 0.500
Os1 0.000 0.500 0.500
```